Record 1
Dy7TmHg2 | PBE | optimized geometry

Unit cell a=5.200 b=8.956 c=8.956 alpha=119.34 beta=90.00 gamma=90.00
Fractional coordinates of all 10 atoms:
Hg1 0.500 0.693 0.307
Dy1 0.500 0.301 0.063
Dy2 0.500 0.699 0.937
Dy3 0.500 0.937 0.699
Dy4 0.500 0.063 0.301
Tm1 0.000 0.000 0.000
Hg2 0.500 0.307 0.693
Dy5 0.000 0.770 0.230
Dy6 0.500 0.500 0.500
Dy7 0.000 0.230 0.770

Properties
The symmetry is No. 65. Its crystal system is orthorhombic. The formation energy is 287 meV per atom. Its density of states at the Fermi level is 2.0546 states/eV/atom. The uncorrected energy comes out at -34.4 eV per formula unit.

Record 2
Tb2TmHf | PBE | optimized geometry

Unit cell a=3.434 b=3.434 c=11.316 alpha=81.27 beta=81.27 gamma=60.00
Fractional coordinates of all 4 atoms:
Tm1 0.500 0.500 0.500
Hf1 0.667 0.667 0.000
Tb1 0.079 0.079 0.764
Tb2 0.255 0.255 0.236

Properties
The symmetry is No. 160. Its crystal system is trigonal. The formation energy is 116 meV per atom. Its density of states at the Fermi level is 1.5368 states/eV/atom. The uncorrected energy comes out at -23.2 eV per formula unit.

Record 3
NbCr2HRh | PBE | optimized geometry

Unit cell a=3.834 b=3.834 c=3.964 alpha=90.00 beta=90.00 gamma=90.00
Fractional coordinates of all 5 atoms:
Cr1 0.500 0.000 0.000
Cr2 0.000 0.500 0.000
H1 0.000 0.000 0.000
Rh1 0.000 0.000 0.500
Nb1 0.500 0.500 0.500

Properties
The symmetry is No. 123. Its crystal system is tetragonal. Its density of states at the Fermi level is 1.2071 states/eV/atom. The uncorrected energy comes out at -39.8 eV per formula unit.

Record 4
NaCaDy2Se4 | PBE | optimized geometry

Unit cell a=4.112 b=7.118 c=7.281 alpha=108.93 beta=90.00 gamma=90.00
Fractional coordinates of all 8 atoms:
Se1 0.000 0.248 0.743
Na1 0.000 0.000 0.000
Se2 0.000 0.752 0.257
Se3 0.500 0.255 0.261
Ca1 0.500 0.500 0.000
Dy1 0.000 0.500 0.500
Dy2 0.500 0.000 0.500
Se4 0.500 0.745 0.739

Properties
The symmetry is No. 10. As for the formation energy (no corrections): -1795 meV/atom. Its crystal system is monoclinic. Its density of states at the Fermi level is 0.3182 states/eV/atom. The uncorrected energy comes out at -40.8 eV per formula unit.

Record 5
LiAlCdGa | PBE | optimized geometry

Unit cell a=4.197 b=4.197 c=5.022 alpha=114.74 beta=114.70 gamma=90.00
Fractional coordinates of all 4 atoms:
Ga1 0.750 0.250 0.500
Li1 0.500 0.500 0.000
Al1 0.000 0.000 0.000
Cd1 0.250 0.750 0.500

Properties
The symmetry is No. 119. Its crystal system is tetragonal. The formation energy is -107 meV per atom. Its density of states at the Fermi level is 0.4434 states/eV/atom. The uncorrected energy comes out at -10.0 eV per formula unit.

Record 6
Ce6S8I | PBE | optimized geometry

Unit cell a=7.993 b=7.993 c=8.532 alpha=62.07 beta=62.07 gamma=60.00
Fractional coordinates of all 15 atoms:
S1 0.803 0.125 0.646
S2 0.125 0.426 0.646
S3 0.426 0.803 0.646
Ce1 0.275 0.555 0.249
Ce2 0.725 0.445 0.751
S4 0.668 0.668 0.997
S5 0.574 0.197 0.354
S6 0.875 0.574 0.354
Ce3 0.080 0.725 0.751
Ce4 0.920 0.275 0.249
Ce5 0.555 0.920 0.249
S7 0.197 0.875 0.354
I1 0.000 0.000 0.000
S8 0.332 0.332 0.003
Ce6 0.445 0.080 0.751

Properties
The symmetry is No. 148. As for the formation energy (no corrections): -1839 meV/atom. Its crystal system is trigonal. Its density of states at the Fermi level is 2.6061 states/eV/atom. The uncorrected energy comes out at -97.8 eV per formula unit.

Record 7
SrYAl | PBE | optimized geometry

Unit cell a=7.581 b=7.249 c=3.713 alpha=75.17 beta=90.01 gamma=75.08
Fractional coordinates of all 6 atoms:
Al1 0.867 0.480 0.771
Y1 0.047 0.732 0.145
Sr1 0.182 0.183 0.420
Y2 0.687 0.227 0.398
Al2 0.367 0.480 0.771
Sr2 0.553 0.777 0.123

Properties
The symmetry is No. 12. Its crystal system is monoclinic. The formation energy is -91 meV per atom. Its density of states at the Fermi level is 0.6539 states/eV/atom. The uncorrected energy comes out at -12.2 eV per formula unit.

Record 8
PrPaTaN4 | PBE | optimized geometry

Unit cell a=5.692 b=5.708 c=6.837 alpha=90.00 beta=114.60 gamma=90.00
Fractional coordinates of all 14 atoms:
N1 0.500 0.000 0.500
N2 0.000 0.500 0.500
Ta1 0.740 0.250 0.480
N3 0.000 0.000 0.500
N4 0.419 0.750 0.839
Ta2 0.260 0.750 0.520
Pr1 0.395 0.250 0.789
N5 0.062 0.750 0.123
N6 0.500 0.500 0.500
N7 0.938 0.250 0.877
Pa1 0.108 0.250 0.216
N8 0.581 0.250 0.161
Pr2 0.605 0.750 0.211
Pa2 0.892 0.750 0.784

Properties
The symmetry is No. 63. As for the formation energy (no corrections): -1273 meV/atom. Its crystal system is orthorhombic. Its density of states at the Fermi level is 0.5685 states/eV/atom. The uncorrected energy comes out at -68.3 eV per formula unit.

Record 9
Tb3Y6Ho2Mg | PBE | optimized geometry

Unit cell a=6.144 b=6.144 c=11.702 alpha=95.07 beta=95.07 gamma=120.04
Fractional coordinates of all 12 atoms:
Y1 0.749 0.749 0.248
Y2 0.251 0.251 0.752
Y3 0.081 0.414 0.247
Tb1 0.500 0.500 0.500
Mg1 0.000 0.000 0.000
Y4 0.919 0.586 0.753
Y5 0.586 0.919 0.753
Ho1 0.334 0.666 0.000
Tb2 0.834 0.166 0.500
Ho2 0.666 0.334 0.000
Tb3 0.166 0.834 0.500
Y6 0.414 0.081 0.247

Properties
The symmetry is No. 12. Its crystal system is monoclinic. The formation energy is 33 meV per atom. Its density of states at the Fermi level is 1.5356 states/eV/atom. The uncorrected energy comes out at -63.0 eV per formula unit.

Record 10
K2NaMg | PBE | optimized geometry

Unit cell a=10.287 b=10.287 c=8.177 alpha=51.02 beta=51.02 gamma=90.00
Fractional coordinates of all 8 atoms:
K1 0.875 0.883 0.750
K2 0.117 0.625 0.250
Mg1 0.000 0.000 0.000
Mg2 0.750 0.250 0.500
Na1 0.250 0.750 0.500
K3 0.375 0.367 0.750
K4 0.633 0.125 0.250
Na2 0.500 0.500 0.000

Properties
The symmetry is No. 122. Its crystal system is tetragonal. The formation energy is 227 meV per atom. Its density of states at the Fermi level is 0.6310 states/eV/atom. The uncorrected energy comes out at -4.2 eV per formula unit.

Record 11
CsHg4F12 | PBE | optimized geometry

Unit cell a=7.663 b=7.663 c=7.663 alpha=109.47 beta=109.47 gamma=109.47
Fractional coordinates of all 17 atoms:
F1 0.756 0.753 0.509
Hg1 0.500 0.000 0.000
F2 0.003 0.756 0.247
F3 0.244 0.753 0.997
F4 0.247 0.003 0.756
F5 0.753 0.509 0.756
F6 0.244 0.247 0.491
F7 0.491 0.244 0.247
Hg2 0.000 0.500 0.000
Cs1 0.000 0.000 0.000
F8 0.509 0.756 0.753
F9 0.247 0.491 0.244
F10 0.756 0.247 0.003
Hg3 0.000 0.000 0.500
F11 0.753 0.997 0.244
Hg4 0.500 0.500 0.500
F12 0.997 0.244 0.753

Properties
The symmetry is No. 204. As for the formation energy (no corrections): -1390 meV/atom. Its crystal system is cubic. Its density of states at the Fermi level is 0.1340 states/eV/atom. The uncorrected energy comes out at -48.2 eV per formula unit.

Record 12
Na3HfGe | PBE | optimized geometry

Unit cell a=5.420 b=5.420 c=5.420 alpha=90.00 beta=90.00 gamma=90.00
Fractional coordinates of all 5 atoms:
Ge1 0.000 0.000 0.000
Na1 0.000 0.000 0.500
Na2 0.000 0.500 0.000
Hf1 0.500 0.500 0.500
Na3 0.500 0.000 0.000

Properties
The symmetry is No. 221. Its crystal system is cubic. The formation energy is 1003 meV per atom. Its density of states at the Fermi level is 0.9431 states/eV/atom. The uncorrected energy comes out at -13.5 eV per formula unit.